# 1
## CoTe2Pb (PBE)

Data for a relaxed structure of CoTe2Pb.

Properties
magnetic moment: 2.720 μB per cell
symmetry: No. 166
E_form (uncorrected): 407 meV/atom
calculated total energy: -3.867 eV/atom

Structure (POSCAR):
```
CoTe2Pb
1.0
2.7189 0.0000 8.3195
-1.3595 2.3547 8.3195
-1.3595 -2.3547 8.3195
Te Co Pb
2 1 1
Direct
0.0977 0.0977 0.0977
0.9023 0.9023 0.9023
0.0000 0.0000 0.0000
0.5000 0.5000 0.5000
```

=====

# 2
## CoTe2Pb (PBE)

Data for a relaxed structure of CoTe2Pb.

Properties
magnetic moment: 1.935 μB per cell
symmetry: No. 123
E_form (uncorrected): 492 meV/atom
calculated total energy: -3.782 eV/atom

Structure (POSCAR):
```
CoTe2Pb
1.0
-4.9825 0.2146 1.6711
0.6151 -4.6250 2.4279
1.1233 1.7871 3.1197
Te Co Pb
2 1 1
Direct
0.5000 0.5000 0.0000
0.0000 0.0000 0.0000
0.5000 0.0000 0.5000
0.0000 0.5000 0.5000
```

=====

# 3
## TiCo2TePb (PBE)

Data for a relaxed structure of TiCo2TePb.

Properties
magnetic moment: 3.165 μB per cell
symmetry: No. 123
E_form (uncorrected): 1241 meV/atom
calculated total energy: -4.551 eV/atom

Structure (POSCAR):
```
TiCo2TePb
1.0
-0.5462 -4.7385 0.5167
4.9005 -0.7592 -1.7818
1.6767 0.2958 4.4855
Te Ti Co Pb
1 1 2 1
Direct
0.5000 0.5000 0.5000
0.0000 0.5000 0.0000
0.0000 0.0000 0.5000
0.5000 0.0000 0.0000
0.0000 0.0000 0.0000
```

=====

# 4
## TlCoTePb2 (PBE)

Data for a relaxed structure of TlCoTePb2.

Properties
magnetic moment: 0.000 μB per cell
symmetry: No. 123
E_form (uncorrected): 1 meV/atom
calculated total energy: -4.005 eV/atom

Structure (POSCAR):
```
TlCoTePb2
1.0
-3.9641 -2.1281 2.4927
0.3619 -4.1722 -2.9864
3.2542 -2.1240 3.3617
Pb Tl Te Co
2 1 1 1
Direct
0.0000 0.5000 0.0000
0.5000 0.0000 0.0000
0.0000 0.0000 0.5000
0.5000 0.5000 0.5000
0.0000 0.0000 0.0000
```

=====

# 5
## Th4CoPb2 (PBE)

Data for a relaxed structure of Th4CoPb2.

Properties
magnetic moment: 0.000 μB per cell
formation enthalpy at 0 K: -0.23 eV/atom
symmetry: No. 11
calculated total energy: -6.545 eV/atom

Structure (POSCAR):
```
Th4CoPb2
1.0
-3.8090 0.5997 4.9444
-4.8964 -3.0830 -3.3981
5.8578 -8.9656 -0.3062
Co Th Pb
2 8 4
Direct
0.1769 0.7500 0.1696
0.8231 0.2500 0.8304
0.0914 0.7500 0.9134
0.4770 0.5181 0.7368
0.5230 0.0181 0.2632
0.1150 0.7500 0.3864
0.9086 0.2500 0.0866
0.4770 0.9819 0.7368
0.5230 0.4819 0.2632
0.8850 0.2500 0.6136
0.6992 0.7500 0.0515
0.3008 0.2500 0.9485
0.7810 0.7500 0.5688
0.2190 0.2500 0.4312
```

=====

# 6
## Th4Co2Pb (PBE)

Data for a relaxed structure of Th4Co2Pb.

Properties
magnetic moment: 0.000 μB per cell
formation enthalpy at 0 K: -0.21 eV/atom
symmetry: No. 166
calculated total energy: -7.006 eV/atom

Structure (POSCAR):
```
Th4Co2Pb
1.0
3.9675 0.0000 0.0000
1.9838 3.4360 0.0000
1.9838 1.1453 14.0965
Th Co Pb
4 2 1
Direct
0.1038 0.1038 0.6887
0.6995 0.6995 0.9016
0.3005 0.3005 0.0984
0.8962 0.8962 0.3113
0.3991 0.3991 0.8028
0.6009 0.6009 0.1972
0.5000 0.5000 0.5000
```

=====

# 7
## Th2CoPb (PBE)

Data for a relaxed structure of Th2CoPb.

Properties
magnetic moment: 0.000 μB per cell
formation enthalpy at 0 K: -0.21 eV/atom
offset from the most stable computed form: 43 meV per atom
symmetry: No. 123
calculated total energy: -6.628 eV/atom

Structure (POSCAR):
```
Th2CoPb
1.0
3.4067 0.0000 0.0000
0.0000 3.4067 0.0000
0.0000 0.0000 8.6906
Co Th Pb
1 2 1
Direct
0.5000 0.5000 0.0000
0.0000 0.0000 0.2002
0.0000 0.0000 0.7998
0.5000 0.5000 0.5000
```

=====

# 8
## Th6CoPb2 (PBE)

Data for a relaxed structure of Th6CoPb2.

Properties
magnetic moment: 0.000 μB per cell
formation enthalpy at 0 K: -0.16 eV/atom
symmetry: No. 14
calculated total energy: -6.721 eV/atom

Structure (POSCAR):
```
Th6CoPb2
1.0
-4.9043 2.0210 3.6657
-0.5507 -7.4216 3.3549
7.1430 2.7326 7.2174
Co Th Pb
2 12 4
Direct
0.0000 0.0000 0.5000
0.5000 0.5000 0.0000
0.3677 0.8082 0.4626
0.3628 0.8166 0.0358
0.6323 0.1918 0.5374
0.1323 0.3082 0.0374
0.3827 0.5247 0.7555
0.1372 0.3166 0.4642
0.8827 0.9753 0.2555
0.6372 0.1834 0.9642
0.6173 0.4753 0.2445
0.8677 0.6918 0.9626
0.1173 0.0247 0.7445
0.8628 0.6834 0.5358
0.4004 0.1051 0.2520
0.0996 0.6051 0.2480
0.9004 0.3949 0.7520
0.5996 0.8949 0.7480
```

=====

# 9
## Th4CoPb2 (PBE)

Data for a relaxed structure of Th4CoPb2.

Properties
magnetic moment: 0.000 μB per cell
formation enthalpy at 0 K: -0.23 eV/atom
symmetry: No. 139
calculated total energy: -6.543 eV/atom

Structure (POSCAR):
```
Th4CoPb2
1.0
4.9667 0.0000 0.0000
0.0000 4.9667 0.0000
-2.4834 -2.4834 8.7732
Th Pb Co
4 2 1
Direct
0.1703 0.1703 0.3406
0.8297 0.8297 0.6594
0.5000 0.0000 0.0000
0.0000 0.5000 0.0000
0.6421 0.6421 0.2841
0.3579 0.3579 0.7159
0.0000 0.0000 0.0000
```

=====

# 10
## Th12Co6Pb (PBE)

Data for a relaxed structure of Th12Co6Pb.

Properties
magnetic moment: 0.000 μB per cell
formation enthalpy at 0 K: -0.22 eV/atom
symmetry: No. 204
calculated total energy: -7.348 eV/atom

Structure (POSCAR):
```
Th12Co6Pb
1.0
-0.5830 8.5835 -0.8576
2.6693 -3.4667 -7.4571
-7.7524 -3.2231 2.0649
Pb Th Co
1 12 6
Direct
0.0000 0.0000 0.0000
0.1792 0.3160 0.4952
0.6840 0.5048 0.8208
0.3160 0.4952 0.1792
0.6840 0.8632 0.1792
0.1368 0.8208 0.3160
0.8632 0.1792 0.6840
0.5048 0.8208 0.6840
0.1792 0.6840 0.8632
0.4952 0.1792 0.3160
0.8208 0.6840 0.5048
0.3160 0.1368 0.8208
0.8208 0.3160 0.1368
0.3676 0.5000 0.8676
0.5000 0.1324 0.6324
0.8676 0.3676 0.5000
0.5000 0.8676 0.3676
0.6324 0.5000 0.1324
0.1324 0.6324 0.5000
```

=====

# 11
## Th3CoPb2 (PBE)

Data for a relaxed structure of Th3CoPb2.

Properties
magnetic moment: 0.000 μB per cell
formation enthalpy at 0 K: -0.25 eV/atom
symmetry: No. 62
calculated total energy: -6.375 eV/atom

Structure (POSCAR):
```
Th3CoPb2
1.0
4.4129 0.0000 0.0000
0.0000 11.6951 0.0000
0.0000 0.0000 13.1215
Th Pb Co
12 8 4
Direct
0.7500 0.2715 0.7457
0.2500 0.0371 0.8860
0.2500 0.3932 0.0607
0.2500 0.7715 0.7543
0.2500 0.1068 0.5607
0.2500 0.4629 0.3860
0.2500 0.7285 0.2543
0.7500 0.6068 0.9393
0.7500 0.8932 0.4393
0.7500 0.2285 0.2457
0.7500 0.5371 0.6140
0.7500 0.9629 0.1140
0.2500 0.0227 0.2970
0.7500 0.2926 0.4910
0.7500 0.9773 0.7030
0.7500 0.5227 0.2030
0.7500 0.2074 0.9910
0.2500 0.7926 0.0090
0.2500 0.7074 0.5090
0.2500 0.4773 0.7970
0.7500 0.8386 0.8829
0.7500 0.6614 0.3829
0.2500 0.1614 0.1171
0.2500 0.3386 0.6171
```

=====

# 12
## Th5CoPb3 (PBE)

Data for a relaxed structure of Th5CoPb3.

Properties
magnetic moment: 0.000 μB per cell
formation enthalpy at 0 K: -0.33 eV/atom
symmetry: No. 193
calculated total energy: -6.481 eV/atom

Structure (POSCAR):
```
Th5CoPb3
1.0
-0.7905 -1.5718 6.3002
4.1589 -8.5544 -1.6124
5.3914 7.5774 2.5670
Th Pb Co
10 6 2
Direct
0.7500 0.7645 0.0000
0.5000 0.3333 0.6667
0.7500 0.2355 0.2355
0.7500 0.0000 0.7645
0.0000 0.6667 0.3333
0.5000 0.6667 0.3333
0.2500 0.7645 0.7645
0.0000 0.3333 0.6667
0.2500 0.2355 0.0000
0.2500 0.0000 0.2355
0.2500 0.3982 0.3982
0.7500 0.6018 0.6018
0.2500 0.6018 0.0000
0.2500 0.0000 0.6018
0.7500 0.3982 0.0000
0.7500 0.0000 0.3982
0.5000 0.0000 0.0000
0.0000 0.0000 0.0000
```